No. 1
Compound: CaZn2Sb
Source: Alexandria
Functional: PBE
Structure: optimized geometry

abc: 5.921 5.921 5.921
angles: 45.41 45.41 45.41
Atoms (fractional coordinates):
Ca1 0.000 0.000 0.000
Zn1 0.237 0.237 0.237
Zn2 0.763 0.763 0.763
Sb1 0.500 0.500 0.500

Computed properties:
The total magnetization comes out at 0.00 μB per atom. The formation energy (no corrections) comes out at -214.7 meV per atom. The density of states at the Fermi level is 1.1 states/eV per cell.



No. 2
Compound: CaZn3Sb
Source: Alexandria
Functional: PBE
Structure: optimized geometry

abc: 5.419 5.419 5.419
angles: 90.00 90.00 90.00
Atoms (fractional coordinates):
Ca1 0.000 0.000 0.000
Zn1 0.000 0.000 0.500
Zn2 0.000 0.500 0.000
Zn3 0.500 0.000 0.000
Sb1 0.500 0.500 0.500

Computed properties:
The total magnetization comes out at 0.00 μB per atom. The formation energy (no corrections) comes out at 807.0 meV per atom. Its energy above the most stable polymorph in this dataset is 515.5 meV/atom. The density of states at the Fermi level is 4.1 states/eV per cell.



No. 3
Compound: Ca2ZnSb
Source: Alexandria
Functional: PBE
Structure: optimized geometry

abc: 4.418 6.148 6.148
angles: 42.72 90.00 90.00
Atoms (fractional coordinates):
Ca1 0.000 0.000 0.000
Ca2 0.500 0.277 0.277
Zn1 0.500 0.553 0.553
Sb1 0.000 0.715 0.715

Computed properties:
The total magnetization comes out at 0.00 μB per atom. The formation energy (no corrections) comes out at -669.7 meV per atom. Its energy above the most stable polymorph in this dataset is 0.0 meV/atom. The density of states at the Fermi level is 0.7 states/eV per cell.



No. 4
Compound: Ca2ZnSb
Source: Alexandria
Functional: PBE
Structure: optimized geometry

abc: 10.201 10.201 10.201
angles: 148.37 148.37 45.34
Atoms (fractional coordinates):
Ca1 0.123 0.625 0.998
Ca2 0.375 0.373 0.498
Ca3 0.627 0.125 0.002
Ca4 0.875 0.877 0.502
Zn1 0.000 0.000 0.000
Zn2 0.750 0.250 0.500
Sb1 0.250 0.750 0.500
Sb2 0.500 0.500 0.000

Computed properties:
The total magnetization comes out at 0.00 μB per atom. The formation energy (no corrections) comes out at -159.2 meV per atom. Its energy above the most stable polymorph in this dataset is 510.5 meV/atom. The density of states at the Fermi level is 1.8 states/eV per cell.



No. 5
Compound: Ca2ZnSb
Source: Alexandria
Functional: PBE
Structure: optimized geometry

abc: 5.061 5.061 4.216
angles: 90.00 90.00 90.00
Atoms (fractional coordinates):
Ca1 0.000 0.500 0.000
Ca2 0.500 0.000 0.000
Zn1 0.000 0.000 0.500
Sb1 0.500 0.500 0.500

Computed properties:
The total magnetization comes out at 0.00 μB per atom. The formation energy (no corrections) comes out at -627.5 meV per atom. Its energy above the most stable polymorph in this dataset is 42.2 meV/atom. The density of states at the Fermi level is 0.8 states/eV per cell.



No. 6
Compound: CaZnSb2
Source: Alexandria
Functional: PBE
Structure: optimized geometry

abc: 6.580 6.580 6.580
angles: 103.89 103.89 121.33
Atoms (fractional coordinates):
Ca1 0.000 0.000 0.000
Ca2 0.750 0.250 0.500
Zn1 0.250 0.750 0.500
Zn2 0.500 0.500 0.000
Sb1 0.173 0.625 0.048
Sb2 0.375 0.423 0.548
Sb3 0.577 0.125 0.952
Sb4 0.875 0.827 0.452

Computed properties:
The total magnetization comes out at 0.00 μB per atom. The formation energy (no corrections) comes out at -410.8 meV per atom. The density of states at the Fermi level is 0.1 states/eV per cell.



No. 7
Compound: CaZn2Sb2
Source: Alexandria
Functional: PBE
Structure: optimized geometry

abc: 8.185 8.185 3.631
angles: 90.00 90.00 90.00
Atoms (fractional coordinates):
Ca1 0.000 0.000 0.000
Ca2 0.500 0.500 0.000
Zn1 0.146 0.354 0.500
Zn2 0.354 0.854 0.500
Zn3 0.646 0.146 0.500
Zn4 0.854 0.646 0.500
Sb1 0.149 0.649 0.000
Sb2 0.351 0.149 0.000
Sb3 0.649 0.851 0.000
Sb4 0.851 0.351 0.000

Computed properties:
The total magnetization comes out at 0.00 μB per atom. The formation energy (no corrections) comes out at -128.0 meV per atom. The density of states at the Fermi level is 4.4 states/eV per cell.



No. 8
Compound: CaZn2Sb2
Source: Alexandria
Functional: PBE
Structure: optimized geometry

abc: 7.800 7.800 7.800
angles: 148.84 148.84 44.65
Atoms (fractional coordinates):
Ca1 0.000 0.000 0.000
Zn1 0.250 0.750 0.500
Zn2 0.750 0.250 0.500
Sb1 0.376 0.376 0.000
Sb2 0.624 0.624 0.000

Computed properties:
The total magnetization comes out at 0.00 μB per atom. The formation energy (no corrections) comes out at -324.8 meV per atom. The density of states at the Fermi level is 0.3 states/eV per cell.



No. 9
Compound: Ca2ZnSb
Source: Alexandria
Functional: PBE
Structure: optimized geometry

abc: 5.422 5.422 5.422
angles: 60.00 60.00 60.00
Atoms (fractional coordinates):
Ca1 0.000 0.000 0.000
Ca2 0.250 0.250 0.250
Zn1 0.750 0.750 0.750
Sb1 0.500 0.500 0.500

Computed properties:
The total magnetization comes out at 0.00 μB per atom. The formation energy (no corrections) comes out at -194.3 meV per atom. Its energy above the most stable polymorph in this dataset is 475.4 meV/atom. The density of states at the Fermi level is 1.9 states/eV per cell.



No. 10
Compound: CaZnSb2
Source: Alexandria
Functional: PBE
Structure: optimized geometry

abc: 8.389 8.389 8.389
angles: 27.13 27.13 27.13
Atoms (fractional coordinates):
Ca1 0.000 0.000 0.000
Zn1 0.500 0.500 0.500
Sb1 0.236 0.236 0.236
Sb2 0.764 0.764 0.764

Computed properties:
The total magnetization comes out at 0.00 μB per atom. The formation energy (no corrections) comes out at -236.8 meV per atom. The density of states at the Fermi level is 2.2 states/eV per cell.



No. 11
Compound: Ca2ZnSb
Source: Alexandria
Functional: PBE
Structure: optimized geometry

abc: 3.753 3.753 8.423
angles: 90.00 90.00 90.00
Atoms (fractional coordinates):
Ca1 0.000 0.000 0.000
Ca2 0.500 0.500 0.373
Zn1 0.500 0.500 0.782
Sb1 0.000 0.000 0.612

Computed properties:
The total magnetization comes out at 0.00 μB per atom. The formation energy (no corrections) comes out at -287.6 meV per atom. Its energy above the most stable polymorph in this dataset is 382.1 meV/atom. The density of states at the Fermi level is 3.6 states/eV per cell.



No. 12
Compound: Ca2ZnSb2
Source: Alexandria
Functional: PBE
Structure: optimized geometry

abc: 9.258 7.995 7.729
angles: 90.00 90.57 90.00
Atoms (fractional coordinates):
Ca1 0.096 0.244 0.499
Ca2 0.096 0.256 0.999
Ca3 0.355 0.713 0.990
Ca4 0.355 0.787 0.490
Ca5 0.645 0.213 0.510
Ca6 0.645 0.287 0.010
Ca7 0.904 0.744 0.001
Ca8 0.904 0.756 0.501
Zn1 0.380 0.083 0.831
Zn2 0.380 0.417 0.331
Zn3 0.620 0.583 0.669
Zn4 0.620 0.917 0.169
Sb1 0.131 0.569 0.255
Sb2 0.131 0.931 0.755
Sb3 0.372 0.095 0.219
Sb4 0.372 0.405 0.719
Sb5 0.628 0.595 0.281
Sb6 0.628 0.905 0.781
Sb7 0.869 0.069 0.245
Sb8 0.869 0.431 0.745

Computed properties:
The total magnetization comes out at 0.00 μB per atom. The formation energy (no corrections) comes out at -786.0 meV per atom. The density of states at the Fermi level is 0.0 states/eV per cell.